(1)
Computed, not measured: crystalline PmSmRh2 at its relaxed geometry at the PBE level of DFT.

Structure (POSCAR):
```
PmSmRh2
1.0
3.579 0.000 0.000
0.000 4.914 0.000
0.000 0.000 4.914
Rh Sm Pm
2 1 1
Cartesian
0.000 0.000 2.457 Rh
0.000 2.457 0.000 Rh
1.789 0.000 0.000 Sm
1.789 2.457 2.457 Pm
```

Properties
D(E_F) in states/eV per atom: 0.758
ρ in g/cm³: 9.6
Space group: P4/mmm (123)
Total magnetic moment in Bohr magnetons per cell: 0.00
Energy above the lowest structure with this stoichiometry in eV/atom: 0.023
Formation energy from the elements in kJ/mol of atoms: -67

(2)
Computed, not measured: crystalline Cs3Tm3NpSe8 at its relaxed geometry at the PBE level of DFT.

Structure (POSCAR):
```
Cs3Tm3NpSe8
1.0
8.344 0.000 0.000
-4.172 7.225 -0.031
0.000 -4.784 8.542
Cs Tm Np Se
3 3 1 8
Cartesian
0.000 0.000 0.000 Cs
-2.086 3.612 -0.016 Cs
2.086 3.612 -0.016 Cs
4.172 -2.392 4.271 Tm
2.086 1.221 4.256 Tm
-2.086 1.221 4.256 Tm
0.000 -2.392 4.271 Np
0.000 2.418 2.702 Se
4.172 0.023 5.809 Se
4.172 2.419 2.708 Se
0.000 0.022 5.803 Se
6.260 -1.196 2.724 Se
-2.088 3.637 5.788 Se
2.084 -1.196 2.724 Se
2.088 3.637 5.788 Se
```

Properties
D(E_F) in states/eV per atom: 0.231
E_form (uncorrected) in kJ/mol of atoms: -154.9
ρ in g/cm³: 5.7
Space group: R-3m (166)
Total magnetic moment in Bohr magnetons per cell: 3.00

(3)
Computed, not measured: crystalline NaSm2Se3 at its relaxed geometry at the PBE level of DFT.

Structure (POSCAR):
```
NaSm2Se3
1.0
-6.513 -2.510 1.967
5.289 0.468 4.939
-2.389 5.663 3.812
Na Sm Se
2 4 6
Cartesian
-1.435 3.471 6.556 Na
-2.178 0.151 4.162 Na
-5.339 2.486 5.573 Sm
2.511 4.467 7.550 Sm
-6.124 -0.845 3.168 Sm
1.726 1.135 5.145 Sm
-0.510 2.591 3.867 Se
-3.103 1.031 6.850 Se
-2.314 4.363 9.256 Se
-4.451 1.577 2.889 Se
-1.299 -0.741 1.462 Se
2.644 0.234 2.469 Se
```

Properties
D(E_F) in states/eV per atom: 0.274
E_form (uncorrected) in kJ/mol of atoms: -167.1
ρ in g/cm³: 6.0
Space group: C2/c (15)
Total magnetic moment in Bohr magnetons per cell: 0.00

(4)
Computed, not measured: crystalline Dy6Mg5Pb at its relaxed geometry at the PBE level of DFT.

Structure (POSCAR):
```
Dy6Mg5Pb
1.0
5.093 -0.030 1.691
0.040 7.521 0.013
-0.018 -0.015 8.512
Pb Mg Dy
1 5 6
Cartesian
0.000 0.000 0.000 Pb
3.394 3.730 6.829 Mg
1.662 -0.015 3.485 Mg
0.020 3.760 0.007 Mg
3.414 -0.030 6.719 Mg
1.722 3.745 3.388 Mg
4.260 5.574 4.283 Dy
4.240 1.887 4.276 Dy
2.557 1.882 0.849 Dy
2.577 5.608 0.856 Dy
0.876 5.589 5.941 Dy
0.856 1.902 5.934 Dy
```

Properties
D(E_F) in states/eV per atom: 1.078
ρ in g/cm³: 6.6
Space group: P2/m (10)
Total magnetic moment in Bohr magnetons per cell: 0.00
Formation energy from the elements in kJ/mol of atoms: -16